Compound: CoAsRhW2
Source: the Alexandria database
Functional: PBE-GGA
Structure: optimized geometry

Lattice parameters (Å, degrees): 4.393 4.393 4.627 90.00 90.00 90.00
Fractional positions:
1 Co 0.000 0.000 0.000
2 As 0.500 0.500 0.500
3 Rh 0.000 0.000 0.500
4 W 0.000 0.500 0.000
5 W 0.500 0.000 0.000

Calculated values
Energy of formation ... 1.33 eV per atom

***

Compound: Pr8Ho3Sc
Source: the Alexandria database
Functional: PBE-GGA
Structure: optimized geometry

Lattice parameters (Å, degrees): 8.521 8.521 8.521 118.32 118.32 92.94
Fractional positions:
1 Pr 0.130 0.130 0.747
2 Pr 0.242 0.724 0.000
3 Pr 0.276 0.276 0.519
4 Pr 0.383 0.383 0.253
5 Pr 0.617 0.870 0.000
6 Pr 0.724 0.242 0.000
7 Pr 0.758 0.758 0.481
8 Pr 0.870 0.617 0.000
9 Ho 0.000 0.000 0.000
10 Ho 0.250 0.750 0.500
11 Ho 0.750 0.250 0.500
12 Sc 0.500 0.500 0.000

Calculated values
Energy of formation ... 0.54 eV per atom

***

Compound: AlVBi2
Source: the Alexandria database
Functional: PBE-GGA
Structure: optimized geometry

Lattice parameters (Å, degrees): 7.880 7.880 7.880 131.96 131.96 70.29
Fractional positions:
1 Al 0.000 0.000 0.000
2 Al 0.750 0.250 0.500
3 V 0.250 0.750 0.500
4 V 0.500 0.500 0.000
5 Bi 0.131 0.625 0.006
6 Bi 0.375 0.381 0.506
7 Bi 0.619 0.125 0.994
8 Bi 0.875 0.869 0.494

Calculated values
Energy of formation ... 0.52 eV per atom

***

Compound: PmCoRhPb
Source: the Alexandria database
Functional: PBE-GGA
Structure: optimized geometry

Lattice parameters (Å, degrees): 4.777 4.777 4.777 60.00 60.00 60.00
Fractional positions:
1 Pm 0.000 0.000 0.000
2 Co 0.750 0.750 0.750
3 Rh 0.250 0.250 0.250
4 Pb 0.500 0.500 0.500

Calculated values
Energy of formation ... -0.19 eV per atom

***

Compound: CaNiW2
Source: the Alexandria database
Functional: PBE-GGA
Structure: optimized geometry

Lattice parameters (Å, degrees): 4.511 4.511 4.511 60.00 60.00 60.00
Fractional positions:
1 Ca 0.000 0.000 0.000
2 Ni 0.500 0.500 0.500
3 W 0.250 0.250 0.250
4 W 0.750 0.750 0.750

Calculated values
Energy of formation ... 1.24 eV per atom

***

Compound: Ca2BeSi
Source: the Alexandria database
Functional: PBE-GGA
Structure: optimized geometry

Lattice parameters (Å, degrees): 3.486 3.486 8.463 90.00 90.00 105.97
Fractional positions:
1 Ca 0.000 0.000 0.000
2 Ca 0.500 0.500 0.395
3 Be 0.000 0.000 0.647
4 Si 0.500 0.500 0.750

Calculated values
Uncorrected formation energy ... 0.129 eV per atom

***

Compound: CaAcNdSm
Source: the Alexandria database
Functional: PBE-GGA
Structure: optimized geometry

Lattice parameters (Å, degrees): 6.014 6.014 6.014 60.00 60.00 60.00
Fractional positions:
1 Ca 0.000 0.000 0.000
2 Ac 0.500 0.500 0.500
3 Nd 0.250 0.250 0.250
4 Sm 0.750 0.750 0.750

Calculated values
Energy of formation ... 0.14 eV per atom

***

Compound: Mn4Rh5
Source: the Alexandria database
Functional: PBE-GGA
Structure: optimized geometry

Lattice parameters (Å, degrees): 7.443 7.443 5.267 90.00 90.00 120.00
Fractional positions:
1 Mn 0.000 0.000 0.000
2 Mn 0.000 0.000 0.500
3 Mn 0.000 0.356 0.250
4 Mn 0.000 0.644 0.750
5 Mn 0.356 0.000 0.250
6 Mn 0.356 0.356 0.750
7 Mn 0.644 0.000 0.750
8 Mn 0.644 0.644 0.250
9 Rh 0.000 0.308 0.750
10 Rh 0.000 0.692 0.250
11 Rh 0.308 0.000 0.750
12 Rh 0.308 0.308 0.250
13 Rh 0.333 0.667 0.000
14 Rh 0.333 0.667 0.500
15 Rh 0.667 0.333 0.000
16 Rh 0.667 0.333 0.500
17 Rh 0.692 0.000 0.250
18 Rh 0.692 0.692 0.750

Calculated values
Energy of formation ... 0.01 eV per atom

***

Compound: NaSrCeCl6
Source: the Alexandria database
Functional: PBE-GGA
Structure: optimized geometry

Lattice parameters (Å, degrees): 7.130 7.130 12.764 90.00 90.00 120.00
Fractional positions:
1 Na 0.333 0.667 0.250
2 Na 0.667 0.333 0.750
3 Sr 0.000 0.000 0.000
4 Sr 0.000 0.000 0.500
5 Ce 0.333 0.667 0.750
6 Ce 0.667 0.333 0.250
7 Cl 0.007 0.345 0.629
8 Cl 0.007 0.662 0.871
9 Cl 0.338 0.345 0.871
10 Cl 0.338 0.993 0.629
11 Cl 0.345 0.007 0.129
12 Cl 0.345 0.338 0.371
13 Cl 0.655 0.662 0.629
14 Cl 0.655 0.993 0.871
15 Cl 0.662 0.007 0.371
16 Cl 0.662 0.655 0.129
17 Cl 0.993 0.338 0.129
18 Cl 0.993 0.655 0.371

Calculated values
Uncorrected formation energy ... -2.198 eV per atom

***

Compound: TaSbRh2
Source: the Alexandria database
Functional: PBE-GGA
Structure: optimized geometry

Lattice parameters (Å, degrees): 5.006 5.006 5.006 132.74 132.74 69.07
Fractional positions:
1 Ta 0.000 0.000 0.000
2 Sb 0.750 0.250 0.500
3 Rh 0.250 0.750 0.500
4 Rh 0.500 0.500 0.000

Calculated values
Uncorrected formation energy ... -0.273 eV per atom

***

Compound: PmPr2MgO
Source: the Alexandria database
Functional: PBE-GGA
Structure: optimized geometry

Lattice parameters (Å, degrees): 5.088 5.088 4.945 90.00 90.00 90.00
Fractional positions:
1 Pm 0.000 0.000 0.000
2 Pr 0.000 0.500 0.500
3 Pr 0.500 0.000 0.500
4 Mg 0.500 0.500 0.000
5 O 0.000 0.000 0.500

Calculated values
Uncorrected formation energy ... -1.171 eV per atom

***

Compound: Hf2ScCl
Source: the Alexandria database
Functional: PBE-GGA
Structure: optimized geometry

Lattice parameters (Å, degrees): 4.990 4.990 4.990 60.00 60.00 60.00
Fractional positions:
1 Hf 0.250 0.250 0.250
2 Hf 0.750 0.750 0.750
3 Sc 0.000 0.000 0.000
4 Cl 0.500 0.500 0.500

Calculated values
Uncorrected formation energy ... 0.540 eV per atom

***

The evaluated density for the records listed, in turn: 11.242, 6.179, 6.211, 11.071, 11.937, 1.969, 6.064, 9.650, 2.739, 12.714, 6.059, 8.264 g/cm3.